No. 1
# CaHWN2

A relaxed structure of CaHWN2 (PBE, the Alexandria database).

a = 4.009 Å, b = 4.009 Å, c = 3.595 Å
α = 90.00°, β = 90.00°, γ = 90.00°
Element x y z (fractional)
1 H 0.000 0.000 0.500
2 Ca 0.500 0.500 0.500
3 W 0.000 0.000 0.000
4 N 0.000 0.500 0.000
5 N 0.500 0.000 0.000

Symmetry ... P4/mmm, No. 123
DFT total energy ... -7.595 eV per atom

=====

No. 2
# Pr8Er2Tl

A relaxed structure of Pr8Er2Tl (PBE, the Alexandria database).

a = 5.094 Å, b = 8.179 Å, c = 9.605 Å
α = 105.14°, β = 105.38°, γ = 90.00°
Element x y z (fractional)
1 Pr 0.409 0.556 0.817
2 Pr 0.679 0.908 0.358
3 Pr 0.862 0.819 0.725
4 Pr 0.955 0.272 0.910
5 Pr 0.138 0.181 0.275
6 Pr 0.321 0.092 0.642
7 Pr 0.591 0.444 0.183
8 Pr 0.045 0.728 0.090
9 Er 0.775 0.368 0.550
10 Er 0.225 0.632 0.450
11 Tl 0.500 0.000 0.000

Energy of formation from the pure elements ... -0.04 eV per atom
Symmetry ... C2/m, No. 12
E above lowest polymorph ... 0 meV/atom
DFT total energy ... -4.565 eV per atom

=====

No. 3
# Ga2CuTe4

A relaxed structure of Ga2CuTe4 (PBE, the Alexandria database).

a = 5.812 Å, b = 5.812 Å, c = 6.261 Å
α = 90.00°, β = 90.00°, γ = 90.00°
Element x y z (fractional)
1 Ga 0.500 0.000 0.500
2 Ga 0.000 0.500 0.500
3 Cu 0.000 0.000 0.000
4 Te 0.737 0.263 0.770
5 Te 0.263 0.263 0.230
6 Te 0.263 0.737 0.770
7 Te 0.737 0.737 0.230

Symmetry ... P-42m, No. 111
E above lowest polymorph ... 2 meV/atom
DFT total energy ... -3.485 eV per atom
Formation energy without anion corrections ... -1.675 eV/f.u.

=====

No. 4
# AcPr4Sm8

A relaxed structure of AcPr4Sm8 (PBE, the Alexandria database).

a = 5.215 Å, b = 16.865 Å, c = 6.373 Å
α = 63.92°, β = 65.85°, γ = 81.11°
Element x y z (fractional)
1 Ac 0.511 0.979 0.998
2 Pr 0.357 0.440 0.845
3 Pr 0.892 0.821 0.396
4 Pr 0.131 0.137 0.601
5 Pr 0.665 0.518 0.151
6 Sm 0.050 0.365 0.534
7 Sm 0.437 0.214 0.912
8 Sm 0.586 0.745 0.084
9 Sm 0.972 0.593 0.462
10 Sm 0.743 0.288 0.226
11 Sm 0.202 0.899 0.696
12 Sm 0.279 0.671 0.771
13 Sm 0.820 0.060 0.301

Energy of formation from the pure elements ... 0.02 eV per atom
Symmetry ... C2/m, No. 12
DFT total energy ... -4.669 eV per atom

=====

No. 5
# SrFeNiP

A relaxed structure of SrFeNiP (PBE, the Alexandria database).

a = 3.681 Å, b = 3.681 Å, c = 10.846 Å
α = 90.00°, β = 90.00°, γ = 90.00°
Element x y z (fractional)
1 Sr 0.750 0.750 0.271
2 Sr 0.250 0.250 0.729
3 Fe 0.750 0.250 0.000
4 Fe 0.250 0.750 0.000
5 Ni 0.250 0.750 0.500
6 Ni 0.750 0.250 0.500
7 P 0.750 0.750 0.890
8 P 0.250 0.250 0.110

Energy of formation from the pure elements ... -0.39 eV per atom
Symmetry ... P4/nmm, No. 129
DFT total energy ... -5.725 eV per atom

=====

No. 6
# RbCaHfZn2

A relaxed structure of RbCaHfZn2 (PBE, the Alexandria database).

a = 5.321 Å, b = 5.459 Å, c = 5.321 Å
α = 90.00°, β = 90.00°, γ = 90.00°
Element x y z (fractional)
1 Zn 0.000 0.000 0.500
2 Zn 0.500 0.000 0.000
3 Hf 0.500 0.500 0.500
4 Ca 0.000 0.500 0.000
5 Rb 0.000 0.000 0.000

Energy of formation from the pure elements ... 1.52 eV per atom
Symmetry ... P4/mmm, No. 123
DFT total energy ... -1.575 eV per atom